# 1
# Ni7Pd2Pt | Alexandria | PBE | optimized geometry
data_Ni7Pd2Pt
_space_group_name_H-M_alt 'P 1'
_space_group_IT_number 1
_cell_length_a 8.8333
_cell_length_b 8.8333
_cell_length_c 2.6313
_cell_angle_alpha 90.03
_cell_angle_beta 90.03
_cell_angle_gamma 138.51
loop_
_space_group_symop_operation_xyz
'x,y,z'
loop_
_atom_site_label
_atom_site_type_symbol
_atom_site_fract_x
_atom_site_fract_y
_atom_site_fract_z
_atom_site_occupancy
Ni1 Ni 0.0000 0.0000 0.0000 1
Ni2 Ni 0.1234 0.8766 0.5000 1
Ni3 Ni 0.1963 0.4207 0.0014 1
Ni4 Ni 0.4207 0.1963 0.0014 1
Ni5 Ni 0.5793 0.8037 0.9986 1
Ni6 Ni 0.8037 0.5793 0.9986 1
Ni7 Ni 0.8766 0.1234 0.5000 1
Pd1 Pd 0.2533 0.7467 0.0000 1
Pd2 Pd 0.7467 0.2533 0.0000 1
Pt1 Pt 0.5000 0.5000 0.5000 1
# Size of the total moment, μB/cell: 6.03
# Space group: C2/m (12)

# 2
# Ni2Pd3Pt2 | Alexandria | PBE | optimized geometry
data_Ni2Pd3Pt2
_space_group_name_H-M_alt 'P 1'
_space_group_IT_number 1
_cell_length_a 10.4188
_cell_length_b 10.4188
_cell_length_c 2.7229
_cell_angle_alpha 90.00
_cell_angle_beta 90.00
_cell_angle_gamma 159.66
loop_
_space_group_symop_operation_xyz
'x,y,z'
loop_
_atom_site_label
_atom_site_type_symbol
_atom_site_fract_x
_atom_site_fract_y
_atom_site_fract_z
_atom_site_occupancy
Ni1 Ni 0.1414 0.8586 0.0000 1
Ni2 Ni 0.8586 0.1414 0.0000 1
Pd1 Pd 0.0000 0.0000 0.0000 1
Pd2 Pd 0.4265 0.5735 0.5000 1
Pd3 Pd 0.5735 0.4265 0.5000 1
Pt1 Pt 0.2959 0.7041 0.5000 1
Pt2 Pt 0.7041 0.2959 0.5000 1
# Size of the total moment, μB/cell: 2.66
# Space group: Cmmm (65)

# 3
# NiPdPt3 | Alexandria | PBE | optimized geometry
data_NiPdPt3
_space_group_name_H-M_alt 'P 1'
_space_group_IT_number 1
_cell_length_a 4.5222
_cell_length_b 4.5222
_cell_length_c 4.5222
_cell_angle_alpha 90.00
_cell_angle_beta 90.00
_cell_angle_gamma 90.00
loop_
_space_group_symop_operation_xyz
'x,y,z'
loop_
_atom_site_label
_atom_site_type_symbol
_atom_site_fract_x
_atom_site_fract_y
_atom_site_fract_z
_atom_site_occupancy
Ni1 Ni 0.0000 0.0000 0.0000 1
Pd1 Pd 0.5000 0.5000 0.5000 1
Pt1 Pt 0.0000 0.0000 0.5000 1
Pt2 Pt 0.0000 0.5000 0.0000 1
Pt3 Pt 0.5000 0.0000 0.0000 1
# Size of the total moment, μB/cell: 0.79
# Space group: Pm-3m (221)

Density across the listed records, respectively: 10.00 13.36 13.47 g/cm3.
Calculated formation energy across the listed records, respectively: 291 58 1001 meV per atom.
DFT total energy across the listed records, respectively: -53.98 -38.82 -24.09 eV/cell.